Here is an optimized crystal structure of RbUCrO6 from Alexandria. Energies are from GGA+U.

For the final energy, the calculation gives -7.818 eV/atom. The value obtained for the energy above the most stable polymorph in this dataset is 0 meV/atom. The density of states at the Fermi level is 0.00 states/eV per cell.

The space group is P2_1/c (No. 14) and the conventional cell measures 7.2026, 8.4119 and 10.6030 Å, with angles of 90.00, 104.92 and 90.00 degrees. The asymmetric unit holds Rb at (0.0331, 0.2418, 0.3617), U at (0.4888, 0.0188, 0.1769), Cr at (0.3896, 0.6425, 0.9442), O at (0.1620, 0.6308, 0.9322), O at (0.2285, 0.0573, 0.1232), O at (0.2515, 0.0198, 0.7653), O at (0.4278, 0.7104, 0.7871), O at (0.4638, 0.0609, 0.3948) and O at (0.4707, 0.6570, 0.5067).